This record from OQMD describes a relaxed HfCuSn2 crystal. The functional is GGA-PBE.

Summary:
Total magnetization in μB/f.u.: 0.03
Final energy in eV per atom: -5.14
Crystal system: cubic

```
4
Lattice="0.000 3.506 3.506 3.506 0.000 3.506 3.506 3.506 0.000" Properties=species:S:1:pos:R:3 pbc="T T T"
Cu 3.506 3.506 3.506
Hf 1.753 1.753 1.753
Sn 0.000 0.000 0.000
Sn 5.259 5.259 5.259
```

***

This record from OQMD describes a relaxed LaTcH2N crystal. The functional is GGA-PBE.

Summary:
Total magnetization in μB/f.u.: 0.00
Final energy in eV per atom: -6.68
Crystal system: tetragonal

```
5
Lattice="-3.291 -1.575 0.960 1.053 -3.217 -1.667 1.600 -1.253 3.430" Properties=species:S:1:pos:R:3 pbc="T T T"
H -1.646 -0.788 0.480
H 0.527 -1.608 -0.833
La -0.319 -3.023 1.361
N 0.800 -0.627 1.715
Tc 0.000 0.000 0.000
```

***

This record from OQMD describes a relaxed Gd3HfC2S2 crystal. The functional is GGA-PBE.

Summary:
Total magnetization in μB/f.u.: 0.00
Final energy in eV per atom: -7.54
Crystal system: trigonal

```
8
Lattice="-0.495 2.364 -2.715 -2.076 -2.974 0.221 -8.518 6.480 7.194" Properties=species:S:1:pos:R:3 pbc="T T T"
C -5.321 3.855 1.895
C -9.385 6.946 5.327
Gd -2.392 -0.553 -0.045
Gd -4.917 1.367 2.087
Gd -5.190 3.948 4.383
Hf -7.651 5.820 6.462
S -2.087 1.588 1.763
S -8.079 3.772 4.757
```

***

This record from OQMD describes a relaxed GeMo4AsC2 crystal. The functional is GGA-PBE.

Summary:
Total magnetization in μB/f.u.: 0.00
Final energy in eV per atom: -8.95
Crystal system: hexagonal

```
8
Lattice="3.165 0.000 0.000 -1.582 2.741 0.000 0.000 0.000 12.483" Properties=species:S:1:pos:R:3 pbc="T T T"
As 1.582 0.914 6.241
C 0.000 1.827 3.129
C 0.000 1.827 9.354
Ge 0.000 0.000 0.000
Mo 1.582 0.914 2.011
Mo 0.000 0.000 4.251
Mo 0.000 0.000 8.232
Mo 1.582 0.914 10.472
```

***

This record from OQMD describes a relaxed BaNdAgSe3 crystal. The functional is GGA-PBE.

Summary:
Total magnetization in μB/f.u.: 0.00
Final energy in eV per atom: -4.86
Crystal system: monoclinic

```
12
Lattice="8.327 0.000 0.000 0.000 4.296 0.000 -2.994 0.000 9.811" Properties=species:S:1:pos:R:3 pbc="T T T"
Ag 0.429 1.074 0.920
Ag 4.905 3.222 8.892
Ba 5.582 3.222 2.043
Ba -0.249 1.074 7.768
Nd 1.465 3.222 3.397
Nd 3.868 1.074 6.414
Se 2.092 3.222 0.466
Se -0.568 1.074 3.404
Se 3.550 1.074 3.478
Se 1.783 3.222 6.334
Se 5.901 3.222 6.408
Se 3.242 1.074 9.346
```

***

This record from OQMD describes a relaxed FeCoHgBi crystal. The functional is GGA-PBE.

Summary:
Total magnetization in μB/f.u.: 3.11
Energy above the lowest structure with this stoichiometry in meV per atom: 0.0
Crystal system: cubic

```
4
Lattice="0.000 3.266 3.266 3.266 0.000 3.266 3.266 3.266 0.000" Properties=species:S:1:pos:R:3 pbc="T T T"
Bi 0.000 0.000 0.000
Co 4.898 4.898 4.898
Fe 1.633 1.633 1.633
Hg 3.266 3.266 3.266
```

***

This record from OQMD describes a relaxed TbCo3 crystal. The functional is GGA-PBE.

Summary:
Total magnetization in μB/f.u.: 3.56
Formation energy from the elements in meV per atom: 68
Crystal system: hexagonal

```
8
Lattice="5.772 0.000 0.000 -2.886 4.999 0.000 0.000 0.000 4.233" Properties=species:S:1:pos:R:3 pbc="T T T"
Co 0.000 1.349 1.058
Co -1.718 4.324 1.058
Co 1.718 4.324 1.058
Co 1.168 0.674 3.175
Co 4.604 0.674 3.175
Co 2.886 3.650 3.175
Tb 2.886 1.666 1.058
Tb 0.000 3.332 3.175
```

***

This record from OQMD describes a relaxed FeSi17Ge14 crystal. The functional is GGA-PBE.

Summary:
Total magnetization in μB/f.u.: 0.91
Final energy in eV per atom: -5.08
Crystal system: monoclinic

```
32
Lattice="-4.330 -3.454 -0.519 2.419 -3.081 0.322 -3.877 0.212 31.135" Properties=species:S:1:pos:R:3 pbc="T T T"
Fe -0.788 -2.299 7.901
Ge 0.144 -2.383 0.100
Ge -0.499 0.012 3.860
Ge -4.027 -2.584 5.533
Ge -1.623 -3.164 5.903
Ge -1.457 0.068 11.589
Ge -4.913 -2.478 13.192
Ge -1.842 -2.322 15.595
Ge -6.243 -3.325 15.082
Ge -2.447 0.112 19.446
Ge -5.896 -2.429 21.047
Ge -2.764 -2.231 23.390
Ge -3.411 0.164 27.182
Ge -4.563 -3.049 29.075
Ge -6.911 -2.413 28.815
Si -4.312 -3.433 -0.457
Si -3.466 -2.559 1.555
Si -1.226 -3.272 1.889
Si -0.388 -2.401 3.925
Si -1.086 -0.033 7.842
Si -2.141 -3.194 9.506
Si -4.428 -2.508 9.262
Si -1.346 -2.350 11.611
Si -2.613 -3.152 13.454
Si -5.409 -2.453 17.157
Si -3.164 -3.167 17.446
Si -2.326 -2.297 19.478
Si -3.595 -3.103 21.293
Si -7.216 -3.274 22.870
Si -6.375 -2.403 24.884
Si -4.128 -3.114 25.188
Si -3.285 -2.241 27.207
```

***

What did the fifth record say?
This record from OQMD describes a relaxed BaNdAgSe3 crystal. The functional is GGA-PBE.

Summary:
Total magnetization in μB/f.u.: 0.00
Final energy in eV per atom: -4.86
Crystal system: monoclinic

```
12
Lattice="8.327 0.000 0.000 0.000 4.296 0.000 -2.994 0.000 9.811" Properties=species:S:1:pos:R:3 pbc="T T T"
Ag 0.429 1.074 0.920
Ag 4.905 3.222 8.892
Ba 5.582 3.222 2.043
Ba -0.249 1.074 7.768
Nd 1.465 3.222 3.397
Nd 3.868 1.074 6.414
Se 2.092 3.222 0.466
Se -0.568 1.074 3.404
Se 3.550 1.074 3.478
Se 1.783 3.222 6.334
Se 5.901 3.222 6.408
Se 3.242 1.074 9.346
```

***

Q: Which of these has the highest total magnetization?
A: TbCo3